Entry 1:
CeGa2Ru2 (PBE-GGA, relaxed); raw total energy = -6.51 eV per atom; symmetry = I4/mmm
1.0
-2.0718 2.0718 10.7535
2.0718 -2.0718 10.7535
2.0718 2.0718 -10.7535
Ce Ga Ru
2 4 4
Cartesian
0.0000 0.0000 2.8579
0.0000 0.0000 18.6491
2.0718 0.0000 0.0000
0.0000 0.0000 6.7973
0.0000 2.0718 0.0000
0.0000 0.0000 14.7098
2.0718 0.0000 5.3768
0.0000 0.0000 9.2925
0.0000 0.0000 12.2145
0.0000 2.0718 5.3768

Entry 2:
Ce2Ga4Ru (PBE-GGA, relaxed); raw total energy = -4.82 eV per atom; symmetry = Cmmm
1.0
2.2547 -9.9045 0.0000
2.2547 9.9045 0.0000
0.0000 0.0000 3.1031
Ce Ga Ru
2 4 1
Cartesian
2.2547 5.7283 0.0000
2.2547 -5.7283 0.0000
2.2547 8.5767 1.5515
2.2547 2.0701 0.0000
2.2547 -2.0701 0.0000
2.2547 -8.5767 1.5515
2.2547 0.0000 1.5515

Entry 3:
Ce2GaRu (PBE-GGA, relaxed); raw total energy = -6.44 eV per atom; symmetry = P4/mmm
1.0
3.6736 0.0000 0.0000
0.0000 3.6736 0.0000
0.0000 0.0000 6.4648
Ce Ga Ru
2 1 1
Cartesian
0.0000 0.0000 1.4514
0.0000 0.0000 5.0134
1.8368 1.8368 3.2324
1.8368 1.8368 0.0000

Entry 4:
Ce3Ga2Ru3 (PBE-GGA, relaxed); raw total energy = -6.95 eV per atom; offset from the most stable computed form = 0 meV/atom; symmetry = Cmcm
1.0
2.2225 -5.4104 0.0000
2.2225 5.4104 0.0000
0.0000 0.0000 13.2097
Ce Ga Ru
6 4 6
Cartesian
2.2225 4.6249 8.0930
2.2225 4.6249 11.7215
2.2225 1.7396 9.9073
2.2225 -1.7396 3.3024
2.2225 -4.6249 1.4881
2.2225 -4.6249 5.1167
2.2225 2.9089 1.1110
2.2225 2.9089 5.4939
2.2225 -2.9089 7.7158
2.2225 -2.9089 12.0987
2.2225 1.1829 3.3024
2.2225 1.0967 7.5083
2.2225 1.0967 12.3063
2.2225 -1.0967 0.9034
2.2225 -1.0967 5.7014
2.2225 -1.1829 9.9073

no.,formation energy (eV per atom)
1,-0.405
2,-0.069
3,-0.393
4,-0.489